# Pm2Sm3Er8 (PBE, optimized geometry)
# Formation enthalpy at 0 K in eV/atom: 0.252
# Magnetization in μB per atom: 0.000
data_Pm2Sm3Er8
_cell_length_a 20.461
_cell_length_b 7.642
_cell_length_c 5.568
_cell_angle_alpha 90.00
_cell_angle_beta 90.03
_cell_angle_gamma 90.00
_symmetry_space_group_name_H-M 'C 1 2/m 1'
_symmetry_Int_Tables_number 12
loop_
_symmetry_equiv_pos_as_xyz
'x,y,z'
'-x,-y,-z'
'-x,y,-z'
'x,-y,z'
'x+1/2,y+1/2,z'
'-x+1/2,-y+1/2,-z'
'-x+1/2,y+1/2,-z'
'x+1/2,-y+1/2,z'
loop_
_atom_site_label
_atom_site_fract_x
_atom_site_fract_y
_atom_site_fract_z
Pm1 0.241 0.000 0.499
Sm1 0.000 0.000 0.500
Sm2 0.000 0.291 0.000
Er1 0.108 0.289 0.500
Er2 0.131 0.000 0.000
Er3 0.165 0.500 0.000